1.
# Pm4IrI5

Crystalline Pm4IrI5 at its relaxed geometry (PBE-GGA, OQMD via LeMat-Bulk).

Cell: 10.145 10.145 9.112 Å, 102.61 102.61 24.07°
Atoms (fractional coordinates):
1 Pm 0.000 0.000 0.796
2 I 0.500 0.500 0.500
3 I 0.825 0.825 0.170
4 Pm 0.645 0.645 0.077
5 Pm 0.355 0.355 0.923
6 I 0.168 0.168 0.345
7 Pm 0.000 0.000 0.204
8 I 0.175 0.175 0.830
9 Ir 0.500 0.500 0.000
10 I 0.832 0.832 0.655

## Properties
final energy	-47.6	eV/cell
space-group type	C2/m (12)
total magnetization	0.0	μB/f.u.
crystal system	monoclinic

2.
# PmIrI

Crystalline PmIrI at its relaxed geometry (PBE-GGA, OQMD via LeMat-Bulk).

Cell: 4.344 4.344 12.310 Å, 100.37 100.37 60.00°
Atoms (fractional coordinates):
1 Ir 0.666 0.666 0.498
2 Ir 0.334 0.334 0.502
3 I 0.221 0.221 0.170
4 Pm 0.053 0.053 0.655
5 I 0.779 0.779 0.830
6 Pm 0.947 0.947 0.345

## Properties
final energy	-36.8	eV/cell
space-group type	C2/m (12)
total magnetization	0.0	μB/f.u.
crystal system	monoclinic

3.
# Pr4IrI5

Crystalline Pr4IrI5 at its relaxed geometry (PBE-GGA, OQMD via LeMat-Bulk).

Cell: 10.258 10.258 9.241 Å, 102.81 102.81 24.09°
Atoms (fractional coordinates):
1 I 0.168 0.168 0.346
2 I 0.826 0.826 0.171
3 Ir 0.500 0.500 0.000
4 Pr 0.000 0.000 0.794
5 Pr 0.354 0.354 0.922
6 Pr 0.000 0.000 0.206
7 Pr 0.646 0.646 0.078
8 I 0.832 0.832 0.654
9 I 0.500 0.500 0.500
10 I 0.174 0.174 0.829

## Properties
final energy	-47.8	eV/cell
space-group type	C2/m (12)
total magnetization	0.1	μB/f.u.
crystal system	monoclinic

4.
# TbIrI6

Crystalline TbIrI6 at its relaxed geometry (PBE-GGA, OQMD via LeMat-Bulk).

Cell: 7.342 7.342 7.559 Å, 99.06 99.06 119.91°
Atoms (fractional coordinates):
1 I 0.199 0.235 0.229
2 I 0.765 0.801 0.771
3 I 0.909 0.538 0.226
4 I 0.607 0.942 0.223
5 Tb 0.166 0.834 0.000
6 I 0.058 0.393 0.777
7 I 0.462 0.091 0.774
8 Ir 0.834 0.166 0.000

## Properties
final energy	-28.5	eV/cell
space-group type	C2 (5)
total magnetization	0.0	μB/f.u.
crystal system	monoclinic

5.
# TeIrI7

Crystalline TeIrI7 at its relaxed geometry (PBE-GGA, OQMD via LeMat-Bulk).

Cell: 7.316 7.677 17.605 Å, 90.00 104.48 90.00°
Atoms (fractional coordinates):
1 I 0.553 0.575 0.199
2 I 0.897 0.116 0.626
3 I 0.996 0.703 0.348
4 Ir 0.706 0.493 0.844
5 I 0.897 0.884 0.126
6 I 0.553 0.425 0.699
7 I 0.249 0.302 0.104
8 I 0.264 0.876 0.958
9 Te 0.989 0.076 0.005
10 I 0.264 0.124 0.458
11 I 0.684 0.414 0.984
12 I 0.996 0.297 0.848
13 I 0.601 0.188 0.347
14 I 0.601 0.812 0.847
15 Ir 0.706 0.507 0.344
16 I 0.684 0.586 0.484
17 I 0.249 0.698 0.604
18 Te 0.989 0.924 0.505

## Properties
final energy	-44.3	eV/cell
space-group type	Pc (7)
total magnetization	2.0	μB/f.u.
crystal system	monoclinic

6.
# TeIr2I

Crystalline TeIr2I at its relaxed geometry (PBE-GGA, OQMD via LeMat-Bulk).

Cell: 5.424 5.487 5.532 Å, 86.20 80.55 84.55°
Atoms (fractional coordinates):
1 Te 0.207 0.720 0.439
2 Ir 0.273 0.752 0.932
3 Te 0.793 0.280 0.561
4 I 0.242 0.246 0.975
5 Ir 0.727 0.248 0.068
6 I 0.758 0.754 0.025
7 Ir 0.676 0.781 0.533
8 Ir 0.324 0.219 0.467

## Properties
final energy	-40.5	eV/cell
space-group type	P-1 (2)
total magnetization	0.0	μB/f.u.
crystal system	triclinic